Crystalline CaMg2Al at its relaxed geometry, computed with PBE.

Cell: 4.8281 3.3490 6.3217 Å, 75.00 90.00 90.00°
Closest atoms and distances in Å follow each position.
Positions (direct):
Al1 0.0000 0.3162 0.4960  4 Mg 2.87-3.20
Ca1 0.5000 0.7096 0.7122  4 Al 3.22, 7 Mg 3.23-3.61, 2 Ca 3.35
Mg1 0.0000 0.0353 0.0503  6 Mg 3.16-3.35, 3 Al 3.19-3.38
Mg2 0.5000 0.4388 0.2415  2 Al 2.87, 4 Mg 3.16-3.17

Output
Its formation enthalpy at 0 K is -0.066 eV per atom.

=====

Crystalline La3Zr5Se12 at its relaxed geometry, computed with PBE.

Cell: 14.3961 14.3961 14.3961 Å, 109.47 109.47 109.47°
Closest atoms and distances in Å follow each position.
Positions (direct):
La1 0.7500 0.3750 0.1250  8 Se 3.15-3.21
La2 0.8750 0.7500 0.1250  8 Se 3.15-3.21
La3 0.3750 0.7500 0.6250  8 Se 3.15-3.21
La4 0.2500 0.1250 0.3750  8 Se 3.15-3.21
La5 0.8750 0.1250 0.2500  8 Se 3.15-3.21
La6 0.3750 0.6250 0.2500  8 Se 3.15-3.21
La7 0.6250 0.3750 0.7500  8 Se 3.15-3.21
La8 0.1250 0.8750 0.7500  8 Se 3.15-3.21
La9 0.7500 0.8750 0.6250  8 Se 3.15-3.21
La10 0.6250 0.2500 0.3750  8 Se 3.15-3.21
La11 0.1250 0.2500 0.8750  8 Se 3.15-3.21
La12 0.2500 0.6250 0.8750  8 Se 3.15-3.21
Zr1 0.1250 0.3750 0.2500  4 Se 2.56
Zr2 0.0000 0.5000 0.0000  6 Se 2.75
Zr3 0.0000 0.0000 0.0000  6 Se 2.75
Zr4 0.3750 0.2500 0.1250  4 Se 2.56
Zr5 0.5000 0.0000 0.5000  6 Se 2.75
Zr6 0.5000 0.5000 0.0000  6 Se 2.75
Zr7 0.1250 0.7500 0.3750  4 Se 2.56
Zr8 0.7500 0.1250 0.8750  4 Se 2.56
Zr9 0.7500 0.6250 0.3750  4 Se 2.56
Zr10 0.3750 0.1250 0.7500  4 Se 2.56
Zr11 0.6250 0.8750 0.2500  4 Se 2.56
Zr12 0.5000 0.5000 0.5000  6 Se 2.75
Zr13 0.5000 0.0000 0.0000  6 Se 2.75
Zr14 0.0000 0.0000 0.5000  6 Se 2.75
Zr15 0.2500 0.3750 0.6250  4 Se 2.56
Zr16 0.2500 0.8750 0.1250  4 Se 2.56
Zr17 0.0000 0.5000 0.5000  6 Se 2.75
Zr18 0.8750 0.2500 0.6250  4 Se 2.56
Zr19 0.6250 0.7500 0.8750  4 Se 2.56
Zr20 0.8750 0.6250 0.7500  4 Se 2.56
Se1 0.7140 0.1230 0.0372  2 Zr 2.56-2.75
Se2 0.3232 0.5372 0.4142  2 Zr 2.56-2.75
Se3 0.9628 0.3770 0.2860  2 Zr 2.56-2.75
Se4 0.5372 0.2140 0.1230  2 Zr 2.56-2.75
Se5 0.5910 0.7140 0.6768  2 Zr 2.56-2.75
Se6 0.9628 0.5858 0.1768  2 Zr 2.56-2.75
Se7 0.3232 0.7860 0.4090  2 Zr 2.56-2.75
Se8 0.0858 0.9090 0.1230  2 Zr 2.56-2.75
Se9 0.5858 0.9628 0.6768  2 Zr 2.56-2.75
Se10 0.7140 0.5910 0.1768  2 Zr 2.56-2.75
Se11 0.7860 0.4628 0.3770  2 Zr 2.56-2.75
Se12 0.8232 0.9142 0.0372  2 Zr 2.56-2.75
Se13 0.1230 0.7140 0.5372  2 Zr 2.56-2.75
Se14 0.3770 0.4142 0.0910  2 Zr 2.56-2.75
Se15 0.0910 0.9142 0.3770  2 Zr 2.56-2.75
Se16 0.4090 0.1230 0.5858  2 Zr 2.56-2.75
Se17 0.0910 0.1768 0.2140  2 Zr 2.56-2.75
Se18 0.4628 0.6768 0.0858  2 Zr 2.56-2.75
Se19 0.8232 0.9090 0.2860  2 Zr 2.56-2.75
Se20 0.1230 0.4090 0.0858  2 Zr 2.56-2.75
Se21 0.3770 0.9628 0.7860  2 Zr 2.56-2.75
Se22 0.5858 0.6230 0.4090  2 Zr 2.56-2.75
Se23 0.9142 0.8232 0.5372  2 Zr 2.56-2.75
Se24 0.7860 0.3232 0.9090  2 Zr 2.56-2.75
Se25 0.4142 0.3770 0.5910  2 Zr 2.56-2.75
Se26 0.0858 0.1768 0.4628  2 Zr 2.56-2.75
Se27 0.2140 0.6768 0.0910  2 Zr 2.56-2.75
Se28 0.1768 0.0910 0.7140  2 Zr 2.56-2.75
Se29 0.6230 0.0372 0.2140  2 Zr 2.56-2.75
Se30 0.8770 0.5910 0.9142  2 Zr 2.56-2.75
Se31 0.5372 0.3232 0.9142  2 Zr 2.56-2.75
Se32 0.5910 0.8770 0.4142  2 Zr 2.56-2.75
Se33 0.9090 0.8232 0.7860  2 Zr 2.56-2.75
Se34 0.9090 0.0858 0.6230  2 Zr 2.56-2.75
Se35 0.8770 0.2860 0.4628  2 Zr 2.56-2.75
Se36 0.1768 0.0858 0.9628  2 Zr 2.56-2.75
Se37 0.6230 0.5858 0.9090  2 Zr 2.56-2.75
Se38 0.4142 0.0372 0.3232  2 Zr 2.56-2.75
Se39 0.2860 0.4090 0.8232  2 Zr 2.56-2.75
Se40 0.2140 0.5372 0.6230  2 Zr 2.56-2.75
Se41 0.9142 0.0910 0.8770  2 Zr 2.56-2.75
Se42 0.6768 0.2140 0.5910  2 Zr 2.56-2.75
Se43 0.4628 0.7860 0.8770  2 Zr 2.56-2.75
Se44 0.0372 0.4142 0.8232  2 Zr 2.56-2.75
Se45 0.4090 0.2860 0.3232  2 Zr 2.56-2.75
Se46 0.0372 0.6230 0.7140  2 Zr 2.56-2.75
Se47 0.6768 0.4628 0.5858  2 Zr 2.56-2.75
Se48 0.2860 0.8770 0.9628  2 Zr 2.56-2.75

Output
The formation energy from raw total energies is -1.362 eV/atom.

=====

Crystalline Mg3MnRh3 at its relaxed geometry, computed with PBE.

Cell: 5.3123 5.4019 5.3123 Å, 109.81 109.13 109.81°
Closest atoms and distances in Å follow each position.
Positions (direct):
Mg1 0.4998 0.0037 0.0000  6 Rh 2.66-2.70
Mg2 0.5002 0.5040 0.5002  6 Rh 2.66-2.70
Mg3 0.0000 0.0037 0.4998  6 Rh 2.66-2.70
Mn1 0.0000 0.5027 0.0000  6 Rh 2.65-2.66
Rh1 0.5001 0.5036 0.0000  2 Mn 2.65-2.66, 6 Mg 2.66-2.70
Rh2 0.4999 0.0036 0.4999  2 Mn 2.65-2.66, 6 Mg 2.66-2.70
Rh3 0.0000 0.5036 0.5001  2 Mn 2.65-2.66, 6 Mg 2.66-2.70

Output
Its formation enthalpy at 0 K is -0.337 eV per atom.